Entry 1:
Density functional theory data (PBE) for a geometry-optimized NbZn2Rh structure.

The structure in CIF format:
```
data_NbZn2Rh
_chemical_formula_sum 'Nb1 Zn2 Rh1'
_symmetry_space_group_name_H-M 'P 4/m m m'
_symmetry_Int_Tables_number 123
_symmetry_space_group_name_Hall '-P 4 2'
_cell_length_a 2.987
_cell_length_b 2.987
_cell_length_c 6.740
_cell_angle_alpha 90.00
_cell_angle_beta 90.00
_cell_angle_gamma 90.00
loop_
_atom_site_label
_atom_site_type_symbol
_atom_site_fract_x
_atom_site_fract_y
_atom_site_fract_z
Nb1 Nb 0.000 0.000 0.000
Zn1 Zn 0.500 0.500 0.277
Rh1 Rh 0.000 0.000 0.500
```

## Properties
Calculated total energy in eV per atom: -5.19
Magnetic moment in μB per cell: 0.0
N(E_F) in states/eV per atom: 0.85

Entry 2:
Density functional theory data (PBE) for a geometry-optimized NbZnRh2 structure.

The structure in CIF format:
```
data_NbZnRh2
_chemical_formula_sum 'Nb2 Zn2 Rh4'
_symmetry_space_group_name_H-M 'P m m n'
_symmetry_Int_Tables_number 59
_cell_length_a 4.500
_cell_length_b 5.740
_cell_length_c 4.642
_cell_angle_alpha 90.00
_cell_angle_beta 90.00
_cell_angle_gamma 90.00
loop_
_symmetry_equiv_pos_as_xyz
'x,y,z'
'-x,-y,-z'
'-x+1/2,-y+1/2,z'
'x+1/2,y+1/2,-z'
'x+1/2,-y,-z'
'-x+1/2,y,z'
'-x,y+1/2,-z'
'x,-y+1/2,z'
loop_
_atom_site_label
_atom_site_type_symbol
_atom_site_fract_x
_atom_site_fract_y
_atom_site_fract_z
Nb1 Nb 0.250 0.250 0.182
Zn1 Zn 0.250 0.750 0.203
Rh1 Rh 0.250 0.003 0.694
```

## Properties
Calculated total energy in eV per atom: -7.00
Magnetic moment in μB per cell: 0.0
N(E_F) in states/eV per atom: 0.53

Entry 3:
Density functional theory data (PBE) for a geometry-optimized Nb2ZnRh3 structure.

The structure in CIF format:
```
data_Nb2ZnRh3
_chemical_formula_sum 'Nb2 Zn1 Rh3'
_symmetry_space_group_name_H-M 'P 4/m m m'
_symmetry_Int_Tables_number 123
_symmetry_space_group_name_Hall '-P 4 2'
_cell_length_a 2.943
_cell_length_b 2.943
_cell_length_c 10.634
_cell_angle_alpha 90.00
_cell_angle_beta 90.00
_cell_angle_gamma 90.00
loop_
_atom_site_label
_atom_site_type_symbol
_atom_site_fract_x
_atom_site_fract_y
_atom_site_fract_z
Nb1 Nb 0.000 0.000 0.178
Zn1 Zn 0.000 0.000 0.500
Rh1 Rh 0.500 0.500 0.000
Rh2 Rh 0.500 0.500 0.347
```

## Properties
Excess energy over the best structure of this formula in the dataset in meV/atom: 0
Magnetic moment in μB per cell: 0.0
N(E_F) in states/eV per atom: 0.80

Repeat the first record exactly.
Density functional theory data (PBE) for a geometry-optimized NbZn2Rh structure.

The structure in CIF format:
```
data_NbZn2Rh
_chemical_formula_sum 'Nb1 Zn2 Rh1'
_symmetry_space_group_name_H-M 'P 4/m m m'
_symmetry_Int_Tables_number 123
_symmetry_space_group_name_Hall '-P 4 2'
_cell_length_a 2.987
_cell_length_b 2.987
_cell_length_c 6.740
_cell_angle_alpha 90.00
_cell_angle_beta 90.00
_cell_angle_gamma 90.00
loop_
_atom_site_label
_atom_site_type_symbol
_atom_site_fract_x
_atom_site_fract_y
_atom_site_fract_z
Nb1 Nb 0.000 0.000 0.000
Zn1 Zn 0.500 0.500 0.277
Rh1 Rh 0.000 0.000 0.500
```

## Properties
Calculated total energy in eV per atom: -5.19
Magnetic moment in μB per cell: 0.0
N(E_F) in states/eV per atom: 0.85